# 1
Density functional theory data (PBE-GGA) for a relaxed structure of PmSc5.

Cell lengths 5.3177, 16.3882, 3.5912 Å; angles 90.00, 90.00, 90.00 degrees
With the nearest neighbours (Å) after each atom.
Fractional coordinates of all 12 atoms:
Pm (0.0000, 0.0000, 0.0000)  8 Sc 3.21-3.50, 2 Pm 3.59
Pm (0.5000, 0.5000, 0.0000)  8 Sc 3.21-3.50, 2 Pm 3.59
Sc (0.0000, 0.1836, 0.5000)  8 Sc 3.18-3.44, 2 Pm 3.50
Sc (0.0000, 0.3437, 0.0000)  8 Sc 3.13-3.24
Sc (0.0000, 0.5000, 0.5000)  4 Sc 3.13, 4 Pm 3.21
Sc (0.0000, 0.6563, 0.0000)  8 Sc 3.13-3.24
Sc (0.0000, 0.8164, 0.5000)  8 Sc 3.18-3.44, 2 Pm 3.50
Sc (0.5000, 0.0000, 0.5000)  4 Sc 3.13, 4 Pm 3.21
Sc (0.5000, 0.1563, 0.0000)  8 Sc 3.13-3.24
Sc (0.5000, 0.3164, 0.5000)  8 Sc 3.18-3.44, 2 Pm 3.50
Sc (0.5000, 0.6836, 0.5000)  8 Sc 3.18-3.44, 2 Pm 3.50
Sc (0.5000, 0.8437, 0.0000)  8 Sc 3.13-3.24

Properties
* crystal system: orthorhombic
* size of the total moment: 0.00 μB per formula unit
* energy relative to the elements: 0.6 eV per formula unit
* energy: -71.694 eV/cell
* E above lowest polymorph: 67 meV per atom



# 2
Density functional theory data (PBE-GGA) for a relaxed structure of CsHg2Pb2.

Cell lengths 4.9984, 4.9984, 7.0883 Å; angles 90.00, 90.00, 90.00 degrees
With the nearest neighbours (Å) after each atom.
Fractional coordinates of all 5 atoms:
Cs (0.0000, 0.0000, 0.0000)  8 Hg 3.84
Hg (0.5000, 0.5000, 0.2128)  1 Hg 3.02, 4 Pb 3.22
Hg (0.5000, 0.5000, 0.7872)  1 Hg 3.02, 4 Pb 3.22
Pb (0.0000, 0.5000, 0.5000)  4 Hg 3.22, 4 Pb 3.53
Pb (0.5000, 0.0000, 0.5000)  4 Hg 3.22, 4 Pb 3.53

Properties
* crystal system: tetragonal
* size of the total moment: 0.00 μB per formula unit
* energy relative to the elements: -0.7 eV per formula unit
* energy: -9.556 eV/cell
* E above lowest polymorph: 11 meV per atom



# 3
Density functional theory data (PBE-GGA) for a relaxed structure of Ca2BeGeN.

Cell lengths 5.2828, 5.2828, 3.9032 Å; angles 90.00, 90.00, 90.00 degrees
With the nearest neighbours (Å) after each atom.
Fractional coordinates of all 5 atoms:
Ca (0.0000, 0.5000, 0.0000)  2 Be 2.64
Ca (0.5000, 0.0000, 0.0000)  2 Be 2.64
Be (0.0000, 0.0000, 0.0000)  2 Ge 1.95
Ge (0.0000, 0.0000, 0.5000)  2 Be 1.95
N (0.5000, 0.5000, 0.5000)  8 Ca 3.28

Properties
* crystal system: tetragonal
* size of the total moment: 1.05 μB per formula unit
* energy: -18.049 eV/cell



# 4
Density functional theory data (PBE-GGA) for a relaxed structure of AcPr4Ag4.

Cell lengths 9.9423, 9.9423, 6.0943 Å; angles 90.00, 90.00, 90.00 degrees
With the nearest neighbours (Å) after each atom.
Fractional coordinates of all 18 atoms:
Ac (0.2500, 0.2500, 0.2500)  4 Ag 3.20
Ac (0.7500, 0.7500, 0.7500)  4 Ag 3.20
Pr (0.0924, 0.6565, 0.1490)  5 Ag 3.11-3.26
Pr (0.1565, 0.9076, 0.6490)  5 Ag 3.11-3.26
Pr (0.3435, 0.5924, 0.6490)  5 Ag 3.11-3.26
Pr (0.4076, 0.8435, 0.1490)  5 Ag 3.11-3.26
Pr (0.5924, 0.1565, 0.8510)  5 Ag 3.11-3.26
Pr (0.6565, 0.4076, 0.3510)  5 Ag 3.11-3.26
Pr (0.8435, 0.0924, 0.3510)  5 Ag 3.11-3.26
Pr (0.9076, 0.3435, 0.8510)  5 Ag 3.11-3.26
Ag (0.0306, 0.6051, 0.6453)  1 Ag 2.81, 3 Pr 3.11-3.14
Ag (0.1051, 0.9694, 0.1453)  1 Ag 2.81, 3 Pr 3.11-3.14
Ag (0.3949, 0.5306, 0.1453)  1 Ag 2.81, 3 Pr 3.11-3.14
Ag (0.4694, 0.8949, 0.6453)  1 Ag 2.81, 3 Pr 3.11-3.14
Ag (0.5306, 0.1051, 0.3547)  1 Ag 2.81, 3 Pr 3.11-3.14
Ag (0.6051, 0.4694, 0.8547)  1 Ag 2.81, 3 Pr 3.11-3.14
Ag (0.8949, 0.0306, 0.8547)  1 Ag 2.81, 3 Pr 3.11-3.14
Ag (0.9694, 0.3949, 0.3547)  1 Ag 2.81, 3 Pr 3.11-3.14

Properties
* crystal system: tetragonal
* size of the total moment: 0.00 μB per formula unit
* energy relative to the elements: -0.3 eV per formula unit
* energy: -69.876 eV/cell



# 5
Density functional theory data (PBE-GGA) for a relaxed structure of Tm4SnIr2.

Cell lengths 10.0035, 10.0035, 10.0035 Å; angles 26.58, 26.58, 26.58 degrees
With the nearest neighbours (Å) after each atom.
Fractional coordinates of all 7 atoms:
Tm (0.1121, 0.1121, 0.1121)  3 Ir 2.94, 3 Sn 3.09
Tm (0.2990, 0.2990, 0.2990)  4 Ir 2.83-2.97
Tm (0.7010, 0.7010, 0.7010)  4 Ir 2.83-2.97
Tm (0.8879, 0.8879, 0.8879)  3 Ir 2.94, 3 Sn 3.09
Sn (0.5000, 0.5000, 0.5000)  2 Ir 2.85, 6 Tm 3.09
Ir (0.4015, 0.4015, 0.4015)  7 Tm 2.83-2.97, 1 Sn 2.85
Ir (0.5985, 0.5985, 0.5985)  7 Tm 2.83-2.97, 1 Sn 2.85

Properties
* crystal system: trigonal
* size of the total moment: 0.00 μB per formula unit
* energy relative to the elements: -5.2 eV per formula unit
* energy: -44.764 eV/cell



# 6
Density functional theory data (PBE-GGA) for a relaxed structure of NaAg2AuCl6.

Cell lengths 6.8485, 6.9682, 6.9808 Å; angles 84.75, 65.54, 66.21 degrees
With the nearest neighbours (Å) after each atom.
Fractional coordinates of all 10 atoms:
Na (0.0000, 0.0000, 0.0000)  5 Cl 2.69-2.98
Ag (0.4492, 0.3431, 0.7683)  4 Cl 2.54-2.83
Ag (0.4899, 0.7818, 0.1762)  4 Cl 2.53-2.65
Au (0.0369, 0.4461, 0.4519)  4 Cl 2.34-2.39
Cl (0.1991, 0.6651, 0.5030)  1 Au 2.34
Cl (0.2228, 0.1981, 0.6470)  1 Au 2.39, 1 Ag 2.58
Cl (0.4377, 0.6921, 0.8615)  2 Ag 2.53-2.54, 1 Na 2.70
Cl (0.5544, 0.1179, 0.0514)  2 Ag 2.57, 1 Na 2.69
Cl (0.8380, 0.7013, 0.2764)  1 Au 2.36, 1 Ag 2.59
Cl (0.8792, 0.2190, 0.4061)  1 Au 2.35

Properties
* crystal system: triclinic
* size of the total moment: 0.00 μB per formula unit
* energy: -27.695 eV/cell



# 7
Density functional theory data (PBE-GGA) for a relaxed structure of MgBeHg.

Cell lengths 4.7387, 5.1512, 5.2098 Å; angles 79.10, 63.49, 62.88 degrees
With the nearest neighbours (Å) after each atom.
Fractional coordinates of all 6 atoms:
Mg (0.0000, 0.0000, 0.0000)  4 Be 2.69-2.75, 3 Hg 2.90-2.98
Mg (0.4997, 0.3337, 0.6681)  4 Be 2.69-2.79, 3 Hg 2.88-2.95
Be (0.4055, 0.5104, 0.1803)  2 Be 2.37
Be (0.9054, 0.5100, 0.1821)  2 Be 2.37
Hg (0.3089, 0.0229, 0.3621)  4 Be 2.68-2.76, 3 Mg 2.90-2.98
Hg (0.8063, 0.6924, 0.6967)  4 Be 2.69-2.81, 3 Mg 2.88-2.95

Properties
* crystal system: triclinic
* size of the total moment: 0.00 μB per formula unit
* energy relative to the elements: 0.4 eV per formula unit
* energy: -10.514 eV/cell
* E above lowest polymorph: 11 meV per atom